Below is a geometry-optimized SrLaMgHg structure, with properties calculated at the PBE level.

Unit cell a=4.0080 b=4.0080 c=8.0417 alpha=90.00 beta=90.00 gamma=90.00
Last column: nearest neighbours and their distance in Å.
Atoms (fractional coordinates):
1 Sr 0.0000 0.0000 0.0000  4 Hg 3.52, 4 Mg 3.61, 1 La 3.86
2 La 0.0000 0.0000 0.4805  4 Hg 3.35, 4 Mg 3.44
3 Mg 0.5000 0.5000 0.7228  4 La 3.44, 4 Sr 3.61, 1 Hg 3.73
4 Hg 0.5000 0.5000 0.2590  4 La 3.35, 4 Sr 3.52, 1 Mg 3.73

- N(E_F) (states/eV per atom) = 0.956
- mass density (g cm⁻³) = 5.80
- ΔH_f (0 K) (meV per atom) = -298
- total magnetic moment (μB per cell) = 0.24
- total DFT energy (no corrections) (eV per cell) = -9.7